Computed, not measured: a geometry-optimized La2ZnBiPt structure at the PBE level of DFT.

Results
DOS at the Fermi energy   0.639 states/eV/atom
Space group   P4/mmm
E_tot   -24.85 eV per formula unit
Total moment   0.00 Bohr magnetons per cell

Cell: 5.6237 5.6237 4.8625 Å, 90.00 90.00 90.00°
Sites, in units of the cell vectors:
La: 0.0000 0.5000 0.0000
La: 0.5000 0.0000 0.0000
Zn: 0.0000 0.0000 0.5000
Bi: 0.5000 0.5000 0.5000
Pt: 0.0000 0.0000 0.0000

---

Computed, not measured: a geometry-optimized MgBeRe2 structure at the PBE level of DFT.

Results
DOS at the Fermi energy   0.675 states/eV/atom
Space group   Pmmm
E_tot   -28.48 eV per formula unit
E above lowest polymorph   1.54 eV/f.u.
Total moment   0.00 Bohr magnetons per cell

Cell: 2.5888 4.1627 5.3367 Å, 90.00 90.00 90.00°
Sites, in units of the cell vectors:
Mg: 0.0000 0.0000 0.0000
Be: 0.0000 0.0000 0.5000
Re: 0.5000 0.5000 0.2641
Re: 0.5000 0.5000 0.7359

---

Computed, not measured: a geometry-optimized NdEuAl structure at the PBE level of DFT.

Results
DOS at the Fermi energy   1.037 states/eV/atom
Space group   I4mm
E_tot   -19.27 eV per formula unit
E above lowest polymorph   0.00 eV/f.u.
Total moment   14.60 Bohr magnetons per cell

Cell: 3.7730 3.7730 12.9592 Å, 90.00 90.00 90.00°
Sites, in units of the cell vectors:
Nd: 0.0000 0.0000 0.0000
Nd: 0.5000 0.5000 0.5000
Eu: 0.0000 0.0000 0.7202
Eu: 0.5000 0.5000 0.2202
Al: 0.0000 0.0000 0.3671
Al: 0.5000 0.5000 0.8671

---

Computed, not measured: a geometry-optimized TbAlNi5Ge2 structure at the PBE level of DFT.

Results
DOS at the Fermi energy   0.587 states/eV/atom
Space group   P4/mmm
E_tot   -47.84 eV per formula unit
Total moment   0.00 Bohr magnetons per cell

Cell: 4.2833 4.2833 7.4067 Å, 90.00 90.00 90.00°
Sites, in units of the cell vectors:
Tb: 0.0000 0.0000 0.0000
Al: 0.0000 0.0000 0.5000
Ni: 0.0000 0.5000 0.2329
Ni: 0.0000 0.5000 0.7671
Ni: 0.5000 0.0000 0.2329
Ni: 0.5000 0.0000 0.7671
Ni: 0.5000 0.5000 0.0000
Ge: 0.5000 0.5000 0.3385
Ge: 0.5000 0.5000 0.6615

---

Computed, not measured: a geometry-optimized TcTeIr2 structure at the PBE level of DFT.

Results
DOS at the Fermi energy   0.910 states/eV/atom
Space group   I-4m2
E_tot   -29.64 eV per formula unit
ΔE_f (raw)   0.398 eV/atom
Total moment   0.00 Bohr magnetons per cell

Cell: 4.1465 4.1465 7.5029 Å, 90.00 90.00 90.00°
Sites, in units of the cell vectors:
Tc: 0.0000 0.0000 0.0000
Tc: 0.5000 0.5000 0.5000
Te: 0.0000 0.5000 0.7500
Te: 0.5000 0.0000 0.2500
Ir: 0.0000 0.0000 0.5000
Ir: 0.0000 0.5000 0.2500
Ir: 0.5000 0.0000 0.7500
Ir: 0.5000 0.5000 0.0000